{
  "formula": "Sr3Zn9Ni2",
  "functional": "PBE",
  "state": "optimized geometry",
  "lattice_angstrom": [[-2.151, 4.978, 6.521], [2.151, -4.978, 6.521], [2.151, 4.978, -6.521]],
  "species": ["Sr", "Sr", "Sr", "Zn", "Zn", "Zn", "Zn", "Zn", "Zn", "Zn", "Zn", "Zn", "Ni", "Ni"],
  "frac_coords": [[0.000, 0.000, 0.000], [0.305, 0.305, 0.000], [0.695, 0.695, 0.000], [0.004, 0.663, 0.342], [0.175, 0.890, 0.285], [0.321, 0.663, 0.658], [0.396, 0.110, 0.285], [0.500, 0.000, 0.500], [0.604, 0.890, 0.715], [0.679, 0.337, 0.342], [0.825, 0.110, 0.715], [0.996, 0.337, 0.658], [0.298, 0.500, 0.798], [0.702, 0.500, 0.202]],
  "sg": "Immm (71)",
  "dft_energy_ev_per_atom": -2.195,
  "delta_e_f_ev_per_atom": -0.19
}

=====

{
  "formula": "Sr2ZnNi",
  "functional": "PBE",
  "state": "optimized geometry",
  "lattice_angstrom": [[0.000, 3.768, 3.768], [3.768, 0.000, 3.768], [3.768, 3.768, 0.000]],
  "species": ["Sr", "Sr", "Zn", "Ni"],
  "frac_coords": [[0.250, 0.250, 0.250], [0.750, 0.750, 0.750], [0.000, 0.000, 0.000], [0.500, 0.500, 0.500]],
  "sg": "Fm-3m (225)",
  "polymorph_energy_mev_per_atom": 214.7,
  "dft_energy_ev_per_atom": -2.573,
  "delta_e_f_ev_per_atom": 0.03
}

=====

{
  "formula": "Sr4Zn3Ni",
  "functional": "PBE",
  "state": "optimized geometry",
  "lattice_angstrom": [[4.489, 0.000, 0.000], [0.000, 4.545, 0.000], [0.000, 0.000, 11.898]],
  "species": ["Sr", "Sr", "Sr", "Sr", "Zn", "Zn", "Zn", "Ni"],
  "frac_coords": [[0.000, 0.000, 0.000], [0.000, 0.500, 0.479], [0.500, 0.000, 0.704], [0.500, 0.500, 0.209], [0.000, 0.500, 0.792], [0.500, 0.000, 0.396], [0.500, 0.500, 0.908], [0.000, 0.000, 0.302]],
  "sg": "Pmm2 (25)",
  "dft_energy_ev_per_atom": -2.212,
  "delta_e_f_ev_per_atom": -0.17
}